Record 1
TmSiOs after structural relaxation, computed with PBE-GGA.

a = 3.5071 Å, b = 4.2386 Å, c = 4.2386 Å
α = 120.00°, β = 90.00°, γ = 90.00°
Last column: nearest neighbours and their distance in Å.
Sites, in units of the cell vectors:
Si (0.1666, 0.6667, 0.3333)  3 Os 2.45
Tm (0.6668, 0.3333, 0.6667)  6 Os 3.01, 6 Si 3.01
Os (0.1666, 0.0000, 0.0000)  3 Si 2.45

Values from the calculation:
E_form (uncorrected) = -541 meV/atom
Crystal system = hexagonal
Volume = 18.2 Å³ per atom
Symmetry = No. 187
Total magnetic moment = 0.0 μB per formula unit


Record 2
TmSi2Os after structural relaxation, computed with PBE-GGA.

a = 4.1603 Å, b = 6.5082 Å, c = 9.9216 Å
α = 90.00°, β = 90.00°, γ = 90.00°
Last column: nearest neighbours and their distance in Å.
Sites, in units of the cell vectors:
Tm (0.7500, 0.7740, 0.3154)  7 Si 2.87-2.92, 3 Os 2.94-3.06
Tm (0.7500, 0.2740, 0.1846)  7 Si 2.87-2.92, 3 Os 2.94-3.06
Tm (0.2500, 0.2260, 0.6846)  7 Si 2.87-2.92, 3 Os 2.94-3.06
Tm (0.2500, 0.7260, 0.8154)  7 Si 2.87-2.92, 3 Os 2.94-3.06
Si (0.7500, 0.7494, 0.0217)  3 Os 2.44-2.52, 1 Si 2.59
Si (0.2500, 0.2506, 0.9783)  3 Os 2.44-2.52, 1 Si 2.59
Si (0.7500, 0.2494, 0.4783)  3 Os 2.44-2.52, 1 Si 2.59
Si (0.2500, 0.7506, 0.5217)  3 Os 2.44-2.52, 1 Si 2.59
Si (0.7500, 0.0324, 0.8383)  2 Os 2.52, 1 Si 2.59
Si (0.2500, 0.4676, 0.3383)  2 Os 2.52, 1 Si 2.59
Si (0.7500, 0.5324, 0.6617)  2 Os 2.52, 1 Si 2.59
Si (0.2500, 0.9676, 0.1617)  2 Os 2.52, 1 Si 2.59
Os (0.2500, 0.0927, 0.4019)  5 Si 2.44-2.52
Os (0.7500, 0.9073, 0.5981)  5 Si 2.44-2.52
Os (0.2500, 0.5927, 0.0981)  5 Si 2.44-2.52
Os (0.7500, 0.4073, 0.9019)  5 Si 2.44-2.52

Values from the calculation:
E_form (uncorrected) = -615 meV/atom
Crystal system = orthorhombic
Volume = 16.8 Å³ per atom
Symmetry = No. 62
Total magnetic moment = 0.0 μB per formula unit


Record 3
Tm3Si7Os2 after structural relaxation, computed with PBE-GGA.

a = 4.0770 Å, b = 3.9498 Å, c = 13.4939 Å
α = 83.63°, β = 90.00°, γ = 90.00°
Last column: nearest neighbours and their distance in Å.
Sites, in units of the cell vectors:
Tm (0.5000, 0.5000, 0.0000)  6 Si 2.73-2.84
Tm (0.5000, 0.7954, 0.3769)  9 Si 2.85-3.06
Tm (0.5000, 0.2046, 0.6231)  9 Si 2.85-3.06
Si (0.0000, 0.5992, 0.7224)  3 Si 2.37-2.43, 2 Os 2.37-2.42
Si (0.0000, 0.7319, 0.5469)  3 Si 2.34-2.37
Si (0.0000, 0.0000, 0.0000)  2 Os 2.37
Si (0.0000, 0.4008, 0.2776)  3 Si 2.37-2.43, 2 Os 2.37-2.42
Si (0.5000, 0.2440, 0.1963)  2 Os 2.41, 2 Si 2.43
Si (0.5000, 0.7560, 0.8037)  2 Os 2.41, 2 Si 2.43
Si (0.0000, 0.2681, 0.4531)  3 Si 2.34-2.37
Os (0.0000, 0.0679, 0.8236)  5 Si 2.37-2.42
Os (0.0000, 0.9321, 0.1764)  5 Si 2.37-2.42

Values from the calculation:
E_form (uncorrected) = -363 meV/atom
Crystal system = monoclinic
Volume = 18.0 Å³ per atom
Symmetry = No. 10
Total magnetic moment = 0.0 μB per formula unit


Record 4
Tm4SiOs after structural relaxation, computed with PBE-GGA.

a = 5.7283 Å, b = 6.3376 Å, c = 8.4527 Å
α = 90.00°, β = 111.54°, γ = 90.00°
Last column: nearest neighbours and their distance in Å.
Sites, in units of the cell vectors:
Tm (0.5819, 0.2500, 0.4106)  1 Os 2.83, 1 Si 2.93
Tm (0.4181, 0.7500, 0.5894)  1 Os 2.83, 1 Si 2.93
Tm (0.5771, 0.2500, 0.8768)  1 Os 2.78, 1 Si 2.91
Tm (0.4229, 0.7500, 0.1232)  1 Os 2.78, 1 Si 2.91
Tm (0.9910, 0.0015, 0.2537)  2 Os 2.80-2.85, 2 Si 2.93-2.97
Tm (0.0090, 0.5015, 0.7463)  2 Os 2.80-2.85, 2 Si 2.93-2.97
Tm (0.9910, 0.4985, 0.2537)  2 Os 2.80-2.85, 2 Si 2.93-2.97
Tm (0.0090, 0.9985, 0.7463)  2 Os 2.80-2.85, 2 Si 2.93-2.97
Si (0.2304, 0.2500, 0.0570)  6 Tm 2.91-2.97
Si (0.7696, 0.7500, 0.9430)  6 Tm 2.91-2.97
Os (0.2055, 0.2500, 0.5530)  6 Tm 2.78-2.85
Os (0.7945, 0.7500, 0.4470)  6 Tm 2.78-2.85

Values from the calculation:
E_form (uncorrected) = -408 meV/atom
Crystal system = monoclinic
Volume = 23.8 Å³ per atom
Symmetry = No. 11
Total magnetic moment = 0.0 μB per formula unit


Record 5
Tm2Si3Os after structural relaxation, computed with PBE-GGA.

a = 4.2237 Å, b = 5.4389 Å, c = 5.6366 Å
α = 75.93°, β = 68.00°, γ = 67.15°
Last column: nearest neighbours and their distance in Å.
Sites, in units of the cell vectors:
Tm (0.5487, 0.1899, 0.7127)  9 Si 2.89-3.15, 2 Os 3.19
Tm (0.4330, 0.8132, 0.3209)  3 Os 2.90-3.00, 8 Si 2.96-3.22
Si (0.8692, 0.5848, 0.6768)  1 Os 2.38, 3 Si 2.59-2.60
Si (0.8102, 0.2712, 0.1084)  2 Os 2.40, 1 Si 2.60
Si (0.1762, 0.7448, 0.9029)  1 Os 2.47, 2 Si 2.59
Os (0.1628, 0.3961, 0.2783)  4 Si 2.38-2.47

Values from the calculation:
E_form (uncorrected) = -635 meV/atom
Crystal system = monoclinic
Volume = 18.3 Å³ per atom
Symmetry = No. 8
Total magnetic moment = 0.0 μB per formula unit


Record 6
USi6Os5 after structural relaxation, computed with PBE-GGA.

a = 6.6801 Å, b = 5.2033 Å, c = 6.2255 Å
α = 65.30°, β = 80.25°, γ = 66.10°
Last column: nearest neighbours and their distance in Å.
Sites, in units of the cell vectors:
U (0.0000, 0.0000, 0.0000)  8 Si 2.76-3.01
Si (0.6929, 0.1003, 0.3908)  5 Os 2.40-2.67, 1 Si 2.59
Si (0.3071, 0.5090, 0.3908)  5 Os 2.40-2.67, 1 Si 2.59
Si (0.2045, 0.3668, 0.0000)  5 Os 2.34-2.51, 1 Si 2.51
Si (0.7955, 0.6332, 0.0000)  5 Os 2.34-2.51, 1 Si 2.51
Si (0.6929, 0.4910, 0.6092)  5 Os 2.40-2.67, 1 Si 2.59
Si (0.3071, 0.8997, 0.6092)  5 Os 2.40-2.67, 1 Si 2.59
Os (0.5000, 0.1186, 0.7629)  6 Si 2.47-2.53, 1 Os 2.68
Os (0.0000, 0.3117, 0.3766)  6 Si 2.40-2.67
Os (0.5000, 0.5000, 0.0000)  6 Si 2.34-2.56
Os (0.0000, 0.6883, 0.6234)  6 Si 2.40-2.67
Os (0.5000, 0.8814, 0.2371)  6 Si 2.47-2.53, 1 Os 2.68

Values from the calculation:
E_form (uncorrected) = -175 meV/atom
Crystal system = monoclinic
Volume = 15.0 Å³ per atom
Symmetry = No. 12
Total magnetic moment = 2.0 μB per formula unit


Record 7
USi3Os3 after structural relaxation, computed with PBE-GGA.

a = 6.5230 Å, b = 6.5230 Å, c = 6.5230 Å
α = 90.00°, β = 90.00°, γ = 90.00°
Last column: nearest neighbours and their distance in Å.
Sites, in units of the cell vectors:
Os (0.2500, 0.0000, 0.5000)  4 Si 2.31
Os (0.0000, 0.5000, 0.2500)  4 Si 2.31
Os (0.5000, 0.7500, 0.0000)  4 Si 2.31
Os (0.7500, 0.0000, 0.5000)  4 Si 2.31
Os (0.0000, 0.5000, 0.7500)  4 Si 2.31
Os (0.5000, 0.2500, 0.0000)  4 Si 2.31
Si (0.0000, 0.2500, 0.5000)  4 Os 2.31
Si (0.0000, 0.7500, 0.5000)  4 Os 2.31
Si (0.5000, 0.0000, 0.7500)  4 Os 2.31
Si (0.7500, 0.5000, 0.0000)  4 Os 2.31
Si (0.5000, 0.0000, 0.2500)  4 Os 2.31
Si (0.2500, 0.5000, 0.0000)  4 Os 2.31
U (0.5000, 0.5000, 0.5000)  12 Os 3.65, 12 Si 3.65
U (0.0000, 0.0000, 0.0000)  12 Os 3.65, 12 Si 3.65

Values from the calculation:
E_form (uncorrected) = 335 meV/atom
Crystal system = cubic
Volume = 19.8 Å³ per atom
Symmetry = No. 223
Total magnetic moment = 3.1 μB per formula unit


Record 8
USi2Os after structural relaxation, computed with PBE-GGA.

a = 4.0824 Å, b = 6.6620 Å, c = 10.0039 Å
α = 90.00°, β = 90.00°, γ = 90.00°
Last column: nearest neighbours and their distance in Å.
Sites, in units of the cell vectors:
U (0.7500, 0.6698, 0.6295)  9 Si 2.91-3.11, 3 Os 3.03-3.22
U (0.2500, 0.8302, 0.1295)  9 Si 2.91-3.11, 3 Os 3.03-3.22
U (0.2500, 0.3302, 0.3705)  9 Si 2.91-3.11, 3 Os 3.03-3.22
U (0.7500, 0.1698, 0.8705)  9 Si 2.91-3.11, 3 Os 3.03-3.22
Si (0.7500, 0.2156, 0.5815)  3 Os 2.41-2.49, 2 Si 2.45
Si (0.2500, 0.2844, 0.0815)  3 Os 2.41-2.49, 2 Si 2.45
Si (0.2500, 0.7844, 0.4185)  3 Os 2.41-2.49, 2 Si 2.45
Si (0.7500, 0.7156, 0.9185)  3 Os 2.41-2.49, 2 Si 2.45
Si (0.7500, 0.6365, 0.3259)  2 Os 2.36-2.47, 2 Si 2.45
Si (0.2500, 0.8635, 0.8259)  2 Os 2.36-2.47, 2 Si 2.45
Si (0.2500, 0.3635, 0.6741)  2 Os 2.36-2.47, 2 Si 2.45
Si (0.7500, 0.1365, 0.1741)  2 Os 2.36-2.47, 2 Si 2.45
Os (0.7500, 0.9949, 0.3908)  5 Si 2.36-2.49
Os (0.2500, 0.5051, 0.8908)  5 Si 2.36-2.49
Os (0.2500, 0.0051, 0.6092)  5 Si 2.36-2.49
Os (0.7500, 0.4949, 0.1092)  5 Si 2.36-2.49

Values from the calculation:
E_form (uncorrected) = -464 meV/atom
Crystal system = orthorhombic
Volume = 17.0 Å³ per atom
Symmetry = No. 62
Total magnetic moment = 1.5 μB per formula unit


Record 9
USi2Os after structural relaxation, computed with PBE-GGA.

a = 2.9347 Å, b = 2.9347 Å, c = 7.2238 Å
α = 90.00°, β = 90.00°, γ = 90.00°
Last column: nearest neighbours and their distance in Å.
Sites, in units of the cell vectors:
Os (0.5000, 0.5000, 0.0000)  8 Si 2.55
Si (0.0000, 0.0000, 0.7958)  4 Os 2.55
Si (0.0000, 0.0000, 0.2042)  4 Os 2.55
U (0.5000, 0.5000, 0.5000)  4 U 2.93, 8 Si 2.98

Values from the calculation:
E_form (uncorrected) = -212 meV/atom
Crystal system = tetragonal
Volume = 15.6 Å³ per atom
Symmetry = No. 123
Total magnetic moment = 1.2 μB per formula unit


Record 10
USi4Os4 after structural relaxation, computed with PBE-GGA.

a = 5.9161 Å, b = 5.9161 Å, c = 8.1157 Å
α = 90.00°, β = 90.00°, γ = 90.00°
Last column: nearest neighbours and their distance in Å.
Sites, in units of the cell vectors:
U (0.0000, 0.0000, 0.0000)  4 Si 3.11, 8 Os 3.41
U (0.5000, 0.5000, 0.5000)  4 Si 3.11, 8 Os 3.41
Si (0.5000, 0.7986, 0.8151)  1 Si 2.38, 5 Os 2.42-2.47
Si (0.5000, 0.2014, 0.8151)  1 Si 2.38, 5 Os 2.42-2.47
Si (0.7986, 0.5000, 0.1849)  1 Si 2.38, 5 Os 2.42-2.47
Si (0.2014, 0.5000, 0.1849)  1 Si 2.38, 5 Os 2.42-2.47
Si (0.2986, 0.0000, 0.3151)  1 Si 2.38, 5 Os 2.42-2.47
Si (0.7014, 0.0000, 0.3151)  1 Si 2.38, 5 Os 2.42-2.47
Si (0.0000, 0.2986, 0.6849)  1 Si 2.38, 5 Os 2.42-2.47
Si (0.0000, 0.7014, 0.6849)  1 Si 2.38, 5 Os 2.42-2.47
Os (0.2387, 0.5000, 0.8861)  5 Si 2.42-2.47
Os (0.7613, 0.5000, 0.8861)  5 Si 2.42-2.47
Os (0.5000, 0.7613, 0.1139)  5 Si 2.42-2.47
Os (0.5000, 0.2387, 0.1139)  5 Si 2.42-2.47
Os (0.0000, 0.7387, 0.3861)  5 Si 2.42-2.47
Os (0.0000, 0.2613, 0.3861)  5 Si 2.42-2.47
Os (0.2613, 0.0000, 0.6139)  5 Si 2.42-2.47
Os (0.7387, 0.0000, 0.6139)  5 Si 2.42-2.47

Values from the calculation:
E_form (uncorrected) = -201 meV/atom
Crystal system = tetragonal
Volume = 15.8 Å³ per atom
Symmetry = No. 137
Total magnetic moment = 2.2 μB per formula unit


Record 11
USi7Os3 after structural relaxation, computed with PBE-GGA.

a = 7.6299 Å, b = 7.6299 Å, c = 7.9966 Å
α = 61.51°, β = 61.51°, γ = 60.00°
Last column: nearest neighbours and their distance in Å.
Sites, in units of the cell vectors:
U (0.5000, 0.5000, 0.5000)  6 Os 3.06, 12 Si 3.15-3.19
U (0.0000, 0.0000, 0.0000)  6 Os 3.06, 12 Si 3.15-3.19
Si (0.6669, 0.0661, 0.4129)  3 Os 2.45-2.51, 4 Si 2.64-2.72
Si (0.0661, 0.8541, 0.4129)  3 Os 2.45-2.51, 4 Si 2.64-2.72
Si (0.8541, 0.6669, 0.4129)  3 Os 2.45-2.51, 4 Si 2.64-2.72
Si (0.8331, 0.6459, 0.0871)  3 Os 2.45-2.51, 4 Si 2.64-2.72
Si (0.4339, 0.8331, 0.0871)  3 Os 2.45-2.51, 4 Si 2.64-2.72
Si (0.6459, 0.4339, 0.0871)  3 Os 2.45-2.51, 4 Si 2.64-2.72
Si (0.3331, 0.9339, 0.5871)  3 Os 2.45-2.51, 4 Si 2.64-2.72
Si (0.9339, 0.1459, 0.5871)  3 Os 2.45-2.51, 4 Si 2.64-2.72
Si (0.1459, 0.3331, 0.5871)  3 Os 2.45-2.51, 4 Si 2.64-2.72
Si (0.1669, 0.3541, 0.9129)  3 Os 2.45-2.51, 4 Si 2.64-2.72
Si (0.5661, 0.1669, 0.9129)  3 Os 2.45-2.51, 4 Si 2.64-2.72
Si (0.3541, 0.5661, 0.9129)  3 Os 2.45-2.51, 4 Si 2.64-2.72
Si (0.7500, 0.7500, 0.7500)  3 Os 2.50, 6 Si 2.72
Si (0.2500, 0.2500, 0.2500)  3 Os 2.50, 6 Si 2.72
Os (0.4219, 0.0781, 0.7500)  7 Si 2.45-2.51
Os (0.0781, 0.7500, 0.7500)  7 Si 2.45-2.51
Os (0.7500, 0.4219, 0.7500)  7 Si 2.45-2.51
Os (0.5781, 0.9219, 0.2500)  7 Si 2.45-2.51
Os (0.9219, 0.2500, 0.2500)  7 Si 2.45-2.51
Os (0.2500, 0.5781, 0.2500)  7 Si 2.45-2.51

Values from the calculation:
E_form (uncorrected) = -441 meV/atom
Crystal system = trigonal
Volume = 15.3 Å³ per atom
Symmetry = No. 167
Total magnetic moment = 0.7 μB per formula unit


Record 12
USiOs after structural relaxation, computed with PBE-GGA.

a = 3.2219 Å, b = 4.3335 Å, c = 4.3335 Å
α = 120.00°, β = 90.00°, γ = 90.00°
Last column: nearest neighbours and their distance in Å.
Sites, in units of the cell vectors:
Os (0.1667, 0.3333, 0.6667)  3 Si 2.50
Si (0.1667, 0.0000, 0.0000)  3 Os 2.50
U (0.6667, 0.6667, 0.3333)  6 Si 2.98, 6 Os 2.98, 2 U 3.22

Values from the calculation:
E_form (uncorrected) = -404 meV/atom
Crystal system = hexagonal
Volume = 17.5 Å³ per atom
Symmetry = No. 187
Total magnetic moment = 0.2 μB per formula unit


What DOS at the Fermi energy values result from the calculations? In sequence: 2.09, 2.40, 4.04, 2.99, 2.56, 8.33, 6.49, 5.28, 4.84, 10.01, 5.18, 3.24 states/eV/f.u..